{
  "formula": "ScCoAs2Se",
  "functional": "GGA-PBE",
  "state": "optimized geometry",
  "lattice_angstrom": [[5.0687, 0.0000, 0.0000], [0.0000, 5.0687, 0.0000], [0.0000, 0.0000, 5.0559]],
  "species": ["Sc", "As", "As", "Co", "Se"],
  "fractional_positions": [[0.0000, 0.0000, 0.0000], [0.0000, 0.5000, 0.0000], [0.5000, 0.0000, 0.0000], [0.5000, 0.5000, 0.5000], [0.0000, 0.0000, 0.5000]],
  "de_polymorph_ev_per_atom": 0.703,
  "formation_energy_uncorrected_ev_per_atom": 0.619,
  "dft_energy_ev_per_atom": -4.62,
  "magmom_total_mub_per_cell": 2.099
}